(1)
VASP calculation (PBE with a Hubbard U) on crystalline KAcMnO3 at its relaxed geometry.

a b c (Å): 3.839 6.372 10.649
angles (deg): 90.00 90.00 107.53
Atoms (fractional coordinates):
O1 0.394 0.788 0.586
O2 0.606 0.212 0.086
O3 0.943 0.886 0.250
O4 0.394 0.788 0.914
O5 0.606 0.212 0.414
O6 0.057 0.114 0.750
K1 0.751 0.501 0.750
K2 0.249 0.499 0.250
Mn1 0.478 0.955 0.750
Mn2 0.522 0.045 0.250
Ac1 0.000 0.000 0.000
Ac2 0.000 0.000 0.500

total DFT energy (no corrections) = -6.722 eV per atom
symmetry = Cmcm, No. 63

---

(2)
VASP calculation (PBE with a Hubbard U) on crystalline KAc4Mn3O12 at its relaxed geometry.

a b c (Å): 7.610 7.610 7.610
angles (deg): 109.47 109.47 109.47
Atoms (fractional coordinates):
O1 0.149 0.489 0.340
O2 0.851 0.511 0.660
O3 0.340 0.149 0.489
O4 0.810 0.660 0.149
O5 0.340 0.851 0.190
O6 0.190 0.340 0.851
O7 0.149 0.810 0.660
O8 0.660 0.851 0.511
O9 0.511 0.660 0.851
O10 0.489 0.340 0.149
O11 0.851 0.190 0.340
O12 0.660 0.149 0.810
Ac1 0.000 0.500 0.000
Ac2 0.500 0.500 0.500
Ac3 0.500 0.000 0.000
Ac4 0.000 0.000 0.500
Mn1 0.000 0.500 0.500
Mn2 0.500 0.500 0.000
Mn3 0.500 0.000 0.500
K1 0.000 0.000 0.000

total DFT energy (no corrections) = -7.239 eV per atom
symmetry = Im-3, No. 204
Fermi-level density of states = 16.50 states/eV per cell

---

(3)
VASP calculation (PBE with a Hubbard U) on crystalline K2Ac2MnO6 at its relaxed geometry.

a b c (Å): 6.151 6.151 6.602
angles (deg): 96.36 96.36 118.92
Atoms (fractional coordinates):
K1 0.145 0.855 0.000
K2 0.855 0.145 0.000
O1 0.965 0.681 0.334
O2 0.681 0.965 0.334
O3 0.319 0.035 0.666
O4 0.035 0.319 0.666
O5 0.778 0.778 0.678
O6 0.222 0.222 0.322
Mn1 0.000 0.000 0.500
Ac1 0.337 0.663 0.500
Ac2 0.663 0.337 0.500

total DFT energy (no corrections) = -6.499 eV per atom
symmetry = C2/m, No. 12